First-principles (PBE) data for crystalline LiCaMg2Pd at its relaxed geometry, as listed in Alexandria via LeMat-Bulk.

Values from the calculation:
DOS(E_F)   2.33 states/eV/cell
Formation energy   -0.220 eV per atom
DFT total energy   -0.0985 Ha/atom
Energy above the lowest structure with this stoichiometry   0.0000 eV per atom
Space-group type   No. 123
Size of the total moment   0.00 μB per formula unit

Cell lengths 5.0452, 5.0452, 4.9383 Å; angles 90.00, 90.00, 90.00 degrees
Last column: nearest neighbours and their distance in Å.
Fractional coordinates of all 5 atoms:
Li 0.0000 0.0000 0.0000  2 Pd 2.47
Ca 0.5000 0.5000 0.0000  8 Mg 3.53, 4 Li 3.57
Mg 0.0000 0.5000 0.5000  2 Pd 2.52
Mg 0.5000 0.0000 0.5000  2 Pd 2.52
Pd 0.0000 0.0000 0.5000  2 Li 2.47, 4 Mg 2.52